(1)
Compound: SrAlRe2
Source: the Alexandria database
Functional: PBE
Structure: relaxed

a b c (Å): 2.7912 2.7912 9.2217
angles (deg): 90.00 90.00 90.00
Atoms (fractional coordinates):
Sr1 0.0000 0.0000 0.0000
Al1 0.0000 0.0000 0.5000
Re1 0.5000 0.5000 0.2939
Re2 0.5000 0.5000 0.7061

Results
* ρ: 11.3 g cm⁻³
* SG: P4/mmm (123)
* calculated total energy: -6.89 eV per atom
* Fermi-level density of states: 0.974 states/eV/atom


(2)
Compound: SrAl2Re
Source: the Alexandria database
Functional: PBE
Structure: relaxed

a b c (Å): 3.2565 3.2712 7.5814
angles (deg): 90.00 90.00 90.00
Atoms (fractional coordinates):
Sr1 0.0000 0.0000 0.0000
Al1 0.5000 0.5000 0.3255
Al2 0.5000 0.5000 0.6745
Re1 0.0000 0.0000 0.5000

Results
* ρ: 6.7 g cm⁻³
* SG: Pmmm (47)
* calculated total energy: -5.38 eV per atom
* Fermi-level density of states: 1.044 states/eV/atom


(3)
Compound: SrAlRe2
Source: the Alexandria database
Functional: PBE
Structure: relaxed

a b c (Å): 5.6830 5.6830 2.7159
angles (deg): 99.30 99.30 119.22
Atoms (fractional coordinates):
Sr1 0.0000 0.0000 0.0000
Al1 0.5000 0.5000 0.0000
Re1 0.0000 0.5000 0.5000
Re2 0.5000 0.0000 0.5000

Results
* ρ: 11.1 g cm⁻³
* SG: C2/m (12)
* calculated total energy: -6.70 eV per atom
* Fermi-level density of states: 0.618 states/eV/atom


(4)
Compound: SrAl2Re
Source: the Alexandria database
Functional: PBE
Structure: relaxed

a b c (Å): 3.2758 3.5624 7.4040
angles (deg): 90.00 90.00 90.00
Atoms (fractional coordinates):
Sr1 0.0000 0.0000 0.0000
Al1 0.0000 0.0000 0.5692
Al2 0.5000 0.5000 0.3449
Re1 0.5000 0.5000 0.6862

Results
* ρ: 6.3 g cm⁻³
* SG: Pmm2 (25)
* calculated total energy: -5.17 eV per atom
* Fermi-level density of states: 0.849 states/eV/atom


(5)
Compound: SrAlRe2
Source: the Alexandria database
Functional: PBE
Structure: relaxed

a b c (Å): 5.5740 5.5740 2.6589
angles (deg): 90.00 90.00 117.45
Atoms (fractional coordinates):
Sr1 0.0000 0.0000 0.0000
Al1 0.5000 0.5000 0.0000
Re1 0.0000 0.5000 0.5000
Re2 0.5000 0.0000 0.5000

Results
* ρ: 11.0 g cm⁻³
* SG: Cmmm (65)
* calculated total energy: -6.60 eV per atom
* Fermi-level density of states: 1.050 states/eV/atom


(6)
Compound: SrAl2Re
Source: the Alexandria database
Functional: PBE
Structure: relaxed

a b c (Å): 4.6350 4.6350 6.4970
angles (deg): 95.75 95.75 36.26
Atoms (fractional coordinates):
Sr1 0.0000 0.0000 0.0000
Al1 0.2350 0.2350 0.6743
Al2 0.7650 0.7650 0.3257
Re1 0.5000 0.5000 0.5000

Results
* ρ: 6.6 g cm⁻³
* SG: C2/m (12)
* calculated total energy: -5.24 eV per atom
* Fermi-level density of states: 0.467 states/eV/atom


(7)
Compound: Sr2AlRe
Source: the Alexandria database
Functional: PBE
Structure: relaxed

a b c (Å): 3.5502 3.5502 8.9461
angles (deg): 90.00 90.00 90.00
Atoms (fractional coordinates):
Sr1 0.0000 0.0000 0.0000
Sr2 0.5000 0.5000 0.4089
Al1 0.0000 0.0000 0.6663
Re1 0.5000 0.5000 0.7459

Results
* ρ: 5.7 g cm⁻³
* SG: P4mm (99)
* calculated total energy: -4.60 eV per atom
* Fermi-level density of states: 0.774 states/eV/atom


(8)
Compound: Sr2AlRe
Source: the Alexandria database
Functional: PBE
Structure: relaxed

a b c (Å): 3.0103 4.7270 7.0778
angles (deg): 90.00 90.17 90.00
Atoms (fractional coordinates):
Sr1 0.0010 0.0000 0.2404
Sr2 0.9990 0.0000 0.7596
Al1 0.5000 0.5000 0.5000
Re1 0.5000 0.5000 0.0000

Results
* ρ: 6.4 g cm⁻³
* SG: P2/m (10)
* calculated total energy: -4.09 eV per atom
* Fermi-level density of states: 0.999 states/eV/atom


(9)
Compound: SrAl2Re
Source: the Alexandria database
Functional: PBE
Structure: relaxed

a b c (Å): 5.3494 5.3494 5.3494
angles (deg): 132.90 132.90 68.82
Atoms (fractional coordinates):
Sr1 0.0000 0.0000 0.0000
Al1 0.2500 0.7500 0.5000
Al2 0.5000 0.5000 0.0000
Re1 0.7500 0.2500 0.5000

Results
* ρ: 6.7 g cm⁻³
* SG: I-4m2 (119)
* calculated total energy: -4.73 eV per atom
* Fermi-level density of states: 0.771 states/eV/atom


(10)
Compound: Sr2AlRe
Source: the Alexandria database
Functional: PBE
Structure: relaxed

a b c (Å): 4.5859 4.5859 4.7735
angles (deg): 90.00 90.00 90.00
Atoms (fractional coordinates):
Sr1 0.0000 0.5000 0.0000
Sr2 0.5000 0.0000 0.0000
Al1 0.0000 0.0000 0.5000
Re1 0.5000 0.5000 0.5000

Results
* ρ: 6.4 g cm⁻³
* SG: P4/mmm (123)
* calculated total energy: -4.05 eV per atom
* Fermi-level density of states: 0.950 states/eV/atom


(11)
Compound: SrAl2Re
Source: the Alexandria database
Functional: PBE
Structure: relaxed

a b c (Å): 9.1975 9.1975 9.1975
angles (deg): 147.45 147.45 46.70
Atoms (fractional coordinates):
Sr1 0.3750 0.6250 0.7500
Sr2 0.6250 0.3750 0.2500
Al1 0.0000 0.0000 0.0000
Al2 0.0000 0.0000 0.5000
Al3 0.0000 0.5000 0.0000
Al4 0.5000 0.0000 0.5000
Re1 0.1250 0.8750 0.2500
Re2 0.8750 0.1250 0.7500

Results
* ρ: 4.9 g cm⁻³
* SG: I4_1/amd (141)
* calculated total energy: -4.91 eV per atom
* Fermi-level density of states: 1.094 states/eV/atom


(12)
Compound: SrAlRe
Source: the Alexandria database
Functional: PBE
Structure: relaxed

a b c (Å): 4.9727 4.9727 4.9727
angles (deg): 60.00 60.00 60.00
Atoms (fractional coordinates):
Sr1 0.0000 0.0000 0.0000
Al1 0.2500 0.2500 0.2500
Re1 0.7500 0.7500 0.7500

Results
* ρ: 5.7 g cm⁻³
* SG: F-43m (216)
* calculated total energy: -4.07 eV per atom
* Fermi-level density of states: 0.924 states/eV/atom


What is the formula in the first record? SrAlRe2


What is the ρ in the fourth record? 6.3 g cm⁻³